[1]
First-principles (PBE) data for a geometry-optimized CsKCd2BiSb structure, as listed in OQMD.

Geometry as extended XYZ:
```
6
Lattice="4.952 0.000 0.000 -2.476 4.288 0.000 0.000 0.000 11.158" Properties=species:S:1:pos:R:3 pbc="T T T"
Cs 0.000 0.000 0.000
K 0.000 0.000 5.677
Cd 0.000 2.859 8.100
Cd 2.476 1.429 3.266
Bi 0.000 2.859 2.929
Sb 2.476 1.429 8.275
```

Results
For the total energy, the calculation gives -2.3560 eV/atom. The theoretical density comes out at 5.1 g/cm³. The space group is No. 156.

[2]
First-principles (PBE) data for a geometry-optimized Ta3ZnFe8 structure, as listed in OQMD.

Geometry as extended XYZ:
```
12
Lattice="2.390 1.380 7.795 -2.390 1.380 7.795 0.000 -2.760 7.795" Properties=species:S:1:pos:R:3 pbc="T T T"
Ta 0.000 0.000 0.000
Ta 0.000 0.000 2.957
Ta 0.000 0.000 14.510
Zn 0.000 0.000 11.635
Fe 0.000 -1.383 5.341
Fe -1.196 -0.690 9.231
Fe -1.198 0.692 5.341
Fe 0.000 0.000 7.287
Fe 1.198 0.692 5.341
Fe 1.196 -0.690 9.231
Fe 0.000 1.381 9.231
Fe 0.000 0.000 18.978
```

Results
The size of the total moment comes out at 12.3 μB/cell. The theoretical density comes out at 11.4 g/cm³. The space group is No. 160. As for the formation energy: -0.169 eV per atom.

[3]
First-principles (PBE) data for a geometry-optimized PmY structure, as listed in OQMD.

Geometry as extended XYZ:
```
4
Lattice="4.946 0.000 0.000 -2.473 4.283 0.000 0.000 0.000 6.943" Properties=species:S:1:pos:R:3 pbc="T T T"
Pm 0.000 0.000 0.000
Pm 0.000 0.000 3.471
Y 0.000 2.855 1.736
Y 2.473 1.428 5.207
```

Results
The size of the total moment comes out at 0.0 μB/cell. The theoretical density comes out at 5.3 g/cm³. The space group is No. 194. As for the formation energy: 0.739 eV per atom.

- Which of these has the highest theoretical density?
  Ta3ZnFe8

- Look up the theoretical density of the first one.
  5.1 g/cm³

Copy entry 1 word for word.
First-principles (PBE) data for a geometry-optimized CsKCd2BiSb structure, as listed in OQMD.

Geometry as extended XYZ:
```
6
Lattice="4.952 0.000 0.000 -2.476 4.288 0.000 0.000 0.000 11.158" Properties=species:S:1:pos:R:3 pbc="T T T"
Cs 0.000 0.000 0.000
K 0.000 0.000 5.677
Cd 0.000 2.859 8.100
Cd 2.476 1.429 3.266
Bi 0.000 2.859 2.929
Sb 2.476 1.429 8.275
```

Results
For the total energy, the calculation gives -2.3560 eV/atom. The theoretical density comes out at 5.1 g/cm³. The space group is No. 156.